{"formula": "Na2EuI4", "functional": "PBE", "state": "optimized geometry", "spacegroup": "I4/mmm, No. 139", "e_form_raw_kj_per_mol_atoms": -119.74, "dft_energy_ev_per_cell": -27.8, "lattice_angstrom": [[-5.267, 3.093, -1.769], [-3.129, -2.504, 4.937], [6.416, 6.156, 3.093]], "species": ["I", "Na", "Na", "I", "I", "Eu", "I"], "frac_coords": [[0.500, 0.000, 0.000], [0.369, 0.369, 0.738], [0.631, 0.631, 0.262], [0.809, 0.809, 0.619], [0.000, 0.500, 0.000], [0.000, 0.000, 0.000], [0.191, 0.191, 0.381]]}